Record 1
This record from Alexandria via LeMat-Bulk describes an optimized crystal structure of SbBrF8. The functional is GGA-PBEsol.

a b c (Å): 9.997 5.859 10.901
angles (deg): 90.00 90.00 90.00
Fractional positions:
Sb 0.000 0.116 0.250
Sb 0.000 0.884 0.750
Sb 0.500 0.116 0.750
Sb 0.500 0.884 0.250
Br 0.250 0.500 0.048
Br 0.250 0.500 0.548
Br 0.750 0.500 0.452
Br 0.750 0.500 0.952
F 0.095 0.138 0.399
F 0.095 0.862 0.899
F 0.114 0.367 0.190
F 0.114 0.633 0.690
F 0.119 0.103 0.685
F 0.119 0.897 0.185
F 0.143 0.381 0.938
F 0.143 0.619 0.438
F 0.357 0.381 0.438
F 0.357 0.619 0.938
F 0.381 0.103 0.185
F 0.381 0.897 0.685
F 0.386 0.367 0.690
F 0.386 0.633 0.190
F 0.405 0.138 0.899
F 0.405 0.862 0.399
F 0.595 0.138 0.601
F 0.595 0.862 0.101
F 0.614 0.367 0.810
F 0.614 0.633 0.310
F 0.619 0.103 0.315
F 0.619 0.897 0.815
F 0.643 0.381 0.062
F 0.643 0.619 0.562
F 0.857 0.381 0.562
F 0.857 0.619 0.062
F 0.881 0.103 0.815
F 0.881 0.897 0.315
F 0.886 0.367 0.310
F 0.886 0.633 0.810
F 0.905 0.138 0.101
F 0.905 0.862 0.601

As for the space group: No. 54. The calculation puts the total magnetization at 0.00 μB/f.u. The calculation puts the uncorrected formation energy at -1757 meV per atom. The volume comes out at 638.54 Å³/cell.

=====

Record 2
This record from Alexandria via LeMat-Bulk describes an optimized crystal structure of NaTcOsS2. The functional is GGA-PBEsol.

a b c (Å): 4.483 4.483 5.151
angles (deg): 90.00 90.00 90.00
Fractional positions:
Na 0.000 0.000 0.000
Tc 0.500 0.500 0.000
Os 0.000 0.000 0.500
S 0.000 0.500 0.500
S 0.500 0.000 0.500

As for the space group: No. 123. The calculation puts the total magnetization at 4.31 μB/f.u. The calculation puts the uncorrected formation energy at 1267 meV per atom. The volume comes out at 103.51 Å³/cell.

=====

Record 3
This record from Alexandria via LeMat-Bulk describes an optimized crystal structure of MnCr2Tc. The functional is GGA-PBEsol.

a b c (Å): 8.356 8.356 8.356
angles (deg): 17.79 17.79 17.79
Fractional positions:
Mn 0.000 0.000 0.000
Cr 0.255 0.255 0.255
Cr 0.745 0.745 0.745
Tc 0.500 0.500 0.500

As for the space group: No. 166. The calculation puts the total magnetization at 0.00 μB/f.u. The volume comes out at 47.54 Å³/cell. The value obtained for the energy relative to the elements is 105 kJ/mol of formula units.

=====

Record 4
This record from Alexandria via LeMat-Bulk describes an optimized crystal structure of SrYSc2. The functional is GGA-PBEsol.

a b c (Å): 3.425 5.316 6.869
angles (deg): 90.00 104.37 90.00
Fractional positions:
Sr 0.000 0.000 0.000
Y 0.667 0.500 0.330
Sc 0.261 0.000 0.520
Sc 0.378 0.500 0.753

As for the space group: No. 6. The calculation puts the total magnetization at 0.17 μB/f.u. The volume comes out at 121.14 Å³/cell. The value obtained for the energy relative to the elements is 89 kJ/mol of formula units.

=====

Record 5
This record from Alexandria via LeMat-Bulk describes an optimized crystal structure of Hg2RhI. The functional is GGA-PBEsol.

a b c (Å): 4.950 4.950 4.950
angles (deg): 60.00 60.00 60.00
Fractional positions:
Hg 0.250 0.250 0.250
Hg 0.750 0.750 0.750
Rh 0.000 0.000 0.000
I 0.500 0.500 0.500

As for the space group: No. 225. The calculation puts the total magnetization at 0.00 μB/f.u. The calculation puts the uncorrected formation energy at 645 meV per atom. The volume comes out at 85.75 Å³/cell.

=====

Record 6
This record from Alexandria via LeMat-Bulk describes an optimized crystal structure of Cd2SiAg. The functional is GGA-PBEsol.

a b c (Å): 4.855 4.855 5.458
angles (deg): 101.69 101.69 36.03
Fractional positions:
Cd 0.000 0.000 0.000
Cd 0.241 0.241 0.731
Si 0.491 0.491 0.468
Ag 0.753 0.753 0.256

As for the space group: No. 8. The calculation puts the total magnetization at 0.00 μB/f.u. The calculation puts the uncorrected formation energy at 184 meV per atom. The volume comes out at 73.95 Å³/cell.

=====

Record 7
This record from Alexandria via LeMat-Bulk describes an optimized crystal structure of HfTlSiSe2. The functional is GGA-PBEsol.

a b c (Å): 5.120 5.120 5.540
angles (deg): 90.00 90.00 90.00
Fractional positions:
Hf 0.000 0.000 0.000
Tl 0.000 0.000 0.500
Si 0.500 0.500 0.000
Se 0.000 0.500 0.500
Se 0.500 0.000 0.500

As for the space group: No. 123. The calculation puts the total magnetization at 0.00 μB/f.u. The calculation puts the uncorrected formation energy at 1335 meV per atom. The volume comes out at 145.25 Å³/cell.

=====

Record 8
This record from Alexandria via LeMat-Bulk describes an optimized crystal structure of SrSc2Os. The functional is GGA-PBEsol.

a b c (Å): 5.639 5.639 3.091
angles (deg): 101.74 101.74 114.22
Fractional positions:
Sr 0.000 0.000 0.000
Sc 0.000 0.500 0.500
Sc 0.500 0.000 0.500
Os 0.500 0.500 0.000

As for the space group: No. 12. The calculation puts the total magnetization at 0.00 μB/f.u. The volume comes out at 83.10 Å³/cell. The value obtained for the energy relative to the elements is 202 kJ/mol of formula units.

=====

Record 9
This record from Alexandria via LeMat-Bulk describes an optimized crystal structure of YCoIr2. The functional is GGA-PBEsol.

a b c (Å): 4.473 4.473 4.473
angles (deg): 60.00 60.00 60.00
Fractional positions:
Y 0.000 0.000 0.000
Co 0.750 0.750 0.750
Ir 0.250 0.250 0.250
Ir 0.500 0.500 0.500

As for the space group: No. 216. The calculation puts the total magnetization at 2.55 μB/f.u. The volume comes out at 63.30 Å³/cell. The value obtained for the energy relative to the elements is 36 kJ/mol of formula units.

=====

Record 10
This record from Alexandria via LeMat-Bulk describes an optimized crystal structure of Mn7As. The functional is GGA-PBEsol.

a b c (Å): 5.015 5.015 5.015
angles (deg): 60.00 60.00 60.00
Fractional positions:
Mn 0.000 0.000 0.000
Mn 0.000 0.000 0.500
Mn 0.000 0.500 0.000
Mn 0.000 0.500 0.500
Mn 0.500 0.000 0.000
Mn 0.500 0.000 0.500
Mn 0.500 0.500 0.000
As 0.500 0.500 0.500

As for the space group: No. 225. The calculation puts the total magnetization at 7.41 μB/f.u. The volume comes out at 89.20 Å³/cell. The value obtained for the energy relative to the elements is 52 kJ/mol of formula units.

=====

Record 11
This record from Alexandria via LeMat-Bulk describes an optimized crystal structure of Sr2HPdRu. The functional is GGA-PBEsol.

a b c (Å): 5.170 5.170 3.557
angles (deg): 90.00 90.00 90.00
Fractional positions:
Sr 0.000 0.500 0.000
Sr 0.500 0.000 0.000
H 0.000 0.000 0.000
Pd 0.500 0.500 0.500
Ru 0.000 0.000 0.500

As for the space group: No. 123. The calculation puts the total magnetization at 0.00 μB/f.u. The volume comes out at 95.07 Å³/cell. As for the total energy: -4.6813 eV/atom.

=====

Record 12
This record from Alexandria via LeMat-Bulk describes an optimized crystal structure of TlTcW2. The functional is GGA-PBEsol.

a b c (Å): 5.307 5.307 5.307
angles (deg): 144.69 129.28 63.31
Fractional positions:
Tl 0.000 0.000 0.000
Tc 0.738 0.238 0.500
W 0.267 0.767 0.500
W 0.500 0.500 0.000

As for the space group: No. 44. The calculation puts the total magnetization at 0.00 μB/f.u. The volume comes out at 66.12 Å³/cell. The value obtained for the energy relative to the elements is 266 kJ/mol of formula units.

=====

Record 13
This record from Alexandria via LeMat-Bulk describes an optimized crystal structure of La5Pb4. The functional is GGA-PBEsol.

a b c (Å): 9.878 9.878 6.740
angles (deg): 90.00 90.00 120.00
Fractional positions:
La 0.000 0.274 0.250
La 0.000 0.726 0.750
La 0.274 0.000 0.250
La 0.274 0.274 0.750
La 0.333 0.667 0.000
La 0.333 0.667 0.500
La 0.667 0.333 0.000
La 0.667 0.333 0.500
La 0.726 0.000 0.750
La 0.726 0.726 0.250
Pb 0.000 0.000 0.000
Pb 0.000 0.000 0.500
Pb 0.000 0.380 0.750
Pb 0.000 0.620 0.250
Pb 0.380 0.000 0.750
Pb 0.380 0.380 0.250
Pb 0.620 0.000 0.250
Pb 0.620 0.620 0.750

As for the space group: No. 193. The calculation puts the total magnetization at 0.00 μB/f.u. The volume comes out at 569.51 Å³/cell. The value obtained for the energy relative to the elements is -529 kJ/mol of formula units.

=====

Record 14
This record from Alexandria via LeMat-Bulk describes an optimized crystal structure of Sr2CuB2O6. The functional is GGA-PBEsol.

a b c (Å): 5.732 8.794 5.963
angles (deg): 90.00 116.73 90.00
Fractional positions:
Sr 0.170 0.105 0.338
Sr 0.170 0.395 0.838
Sr 0.830 0.605 0.162
Sr 0.830 0.895 0.662
Cu 0.500 0.000 0.000
Cu 0.500 0.500 0.500
B 0.303 0.748 0.661
B 0.303 0.752 0.161
B 0.697 0.248 0.839
B 0.697 0.252 0.339
O 0.089 0.662 0.617
O 0.089 0.838 0.117
O 0.291 0.593 0.180
O 0.291 0.907 0.680
O 0.463 0.188 0.815
O 0.463 0.312 0.315
O 0.537 0.688 0.685
O 0.537 0.812 0.185
O 0.709 0.093 0.320
O 0.709 0.407 0.820
O 0.911 0.162 0.883
O 0.911 0.338 0.383

As for the space group: No. 14. The calculation puts the total magnetization at 1.00 μB/f.u. The calculation puts the uncorrected formation energy at -2413 meV per atom. The volume comes out at 268.49 Å³/cell.

=====

Record 15
This record from Alexandria via LeMat-Bulk describes an optimized crystal structure of BaLa. The functional is GGA-PBEsol.

a b c (Å): 9.142 9.142 5.157
angles (deg): 90.00 90.00 156.21
Fractional positions:
Ba 0.078 0.922 0.750
Ba 0.922 0.078 0.250
La 0.291 0.709 0.750
La 0.709 0.291 0.250

As for the space group: No. 63. The calculation puts the total magnetization at 0.00 μB/f.u. The volume comes out at 173.83 Å³/cell. The value obtained for the energy relative to the elements is 32 kJ/mol of formula units.

=====

Record 16
This record from Alexandria via LeMat-Bulk describes an optimized crystal structure of AgOsF2. The functional is GGA-PBEsol.

a b c (Å): 4.196 4.196 4.196
angles (deg): 60.00 60.00 60.00
Fractional positions:
Ag 0.000 0.000 0.000
Os 0.500 0.500 0.500
F 0.250 0.250 0.250
F 0.750 0.750 0.750

As for the space group: No. 225. The calculation puts the total magnetization at 3.56 μB/f.u. The calculation puts the uncorrected formation energy at 418 meV per atom. The volume comes out at 52.25 Å³/cell.

=====

Record 17
This record from Alexandria via LeMat-Bulk describes an optimized crystal structure of Y2TePt. The functional is GGA-PBEsol.

a b c (Å): 7.570 7.570 7.570
angles (deg): 31.33 31.33 31.33
Fractional positions:
Y 0.238 0.238 0.238
Y 0.762 0.762 0.762
Te 0.000 0.000 0.000
Pt 0.500 0.500 0.500

As for the space group: No. 166. The calculation puts the total magnetization at 0.00 μB/f.u. The calculation puts the uncorrected formation energy at -1255 meV per atom. The volume comes out at 104.10 Å³/cell.

=====

Record 18
This record from Alexandria via LeMat-Bulk describes an optimized crystal structure of DyAg2. The functional is GGA-PBEsol.

a b c (Å): 5.222 5.222 5.222
angles (deg): 138.94 138.94 59.46
Fractional positions:
Dy 0.000 0.000 0.000
Ag 0.329 0.329 0.000
Ag 0.671 0.671 0.000

As for the space group: No. 139. The calculation puts the total magnetization at 0.00 μB/f.u. The volume comes out at 60.82 Å³/cell. The value obtained for the energy relative to the elements is -97 kJ/mol of formula units.

=====

Record 19
This record from Alexandria via LeMat-Bulk describes an optimized crystal structure of Sr5V3ClO12. The functional is GGA-PBEsol.

a b c (Å): 10.169 10.169 7.244
angles (deg): 90.00 90.00 120.00
Fractional positions:
Sr 0.001 0.251 0.250
Sr 0.251 0.251 0.750
Sr 0.251 0.999 0.250
Sr 0.333 0.667 0.502
Sr 0.333 0.667 0.998
Sr 0.667 0.333 0.002
Sr 0.667 0.333 0.498
Sr 0.749 0.001 0.750
Sr 0.749 0.749 0.250
Sr 0.999 0.749 0.750
V 0.034 0.627 0.250
V 0.373 0.406 0.250
V 0.406 0.034 0.750
V 0.594 0.966 0.250
V 0.627 0.594 0.750
V 0.966 0.373 0.750
Cl 0.000 0.000 0.000
Cl 0.000 0.000 0.500
O 0.097 0.744 0.063
O 0.097 0.744 0.437
O 0.130 0.528 0.250
O 0.160 0.488 0.750
O 0.256 0.352 0.063
O 0.256 0.352 0.437
O 0.328 0.840 0.750
O 0.352 0.097 0.563
O 0.352 0.097 0.937
O 0.398 0.870 0.250
O 0.472 0.602 0.250
O 0.488 0.328 0.250
O 0.512 0.672 0.750
O 0.528 0.398 0.750
O 0.602 0.130 0.750
O 0.648 0.903 0.063
O 0.648 0.903 0.437
O 0.672 0.160 0.250
O 0.744 0.648 0.563
O 0.744 0.648 0.937
O 0.840 0.512 0.250
O 0.870 0.472 0.750
O 0.903 0.256 0.563
O 0.903 0.256 0.937

As for the space group: No. 176. The calculation puts the total magnetization at 0.00 μB/f.u. The calculation puts the uncorrected formation energy at -2891 meV per atom. The volume comes out at 648.69 Å³/cell.

=====

Record 20
This record from Alexandria via LeMat-Bulk describes an optimized crystal structure of LiMg2Zr. The functional is GGA-PBEsol.

a b c (Å): 3.084 3.084 8.703
angles (deg): 90.00 90.00 90.00
Fractional positions:
Li 0.000 0.000 0.000
Mg 0.500 0.500 0.239
Mg 0.500 0.500 0.761
Zr 0.000 0.000 0.500

As for the space group: No. 123. The calculation puts the total magnetization at 0.00 μB/f.u. The volume comes out at 82.76 Å³/cell. The value obtained for the energy relative to the elements is 6 kJ/mol of formula units.